1.
BeFeHg (PBE-GGA, relaxed); space-group type = F-43m (216); magnetic moment = 2.293 μB/cell
1.0
3.8370 -1.0319 -0.3380
1.0100 -3.8443 -0.3212
1.3868 -1.4147 -3.4608
Hg Fe Be
1 1 1
Direct
0.7500 0.7500 0.7500
0.2500 0.2500 0.2500
0.0000 0.0000 0.0000

---

2.
Y2Co2SnGeC (PBE-GGA, relaxed); space-group type = Cm (8); magnetic moment = 0.027 μB/cell
1.0
5.5398 -2.0007 0.0000
5.5398 2.0007 0.0000
-4.3387 0.0000 5.5187
Sn Y Co Ge C
1 2 2 1 1
Direct
0.1587 0.1587 0.6972
0.5537 0.5537 0.2760
0.4402 0.4402 0.7068
0.1910 0.1910 0.0927
0.8214 0.8214 0.9353
0.8316 0.8316 0.2894
0.0033 0.0033 0.0026

---

no.,uncorrected energy (eV/atom)
1,-3.6025
2,-6.9527